# 1
DFT (PBE) results for an optimized crystal structure of PrMn3I9.

a = 10.4073 Å, b = 11.6412 Å, c = 12.6655 Å
α = 75.20°, β = 65.74°, γ = 63.45°
Closest atoms and distances in Å follow each position.
Atoms (fractional coordinates):
I  0.8617  0.4326  0.8767  1 Mn 2.72
I  0.9480  0.2762  0.2003  1 Mn 2.71
Mn  0.9858  0.9510  0.8375  4 I 2.70-2.72
Mn  0.8180  0.5476  0.6719  4 I 2.71-2.72
I  0.4736  0.2521  0.5585  1 Mn 2.71
I  0.2618  0.8938  0.0832  2 Mn 2.71-2.73
I  0.7913  0.9982  0.7260  2 Mn 2.71
I  0.7159  0.7521  0.0585  1 Mn 2.71
I  0.3980  0.8064  0.4231  1 Mn 2.72
I  0.1592  0.6955  0.8301  1 Mn 2.70
Pr  0.0201  0.4969  0.0067  6 I 3.15-3.20
Pr  0.4763  0.9969  0.5067  6 I 3.15-3.20
I  0.7612  0.3938  0.5832  2 Mn 2.71-2.73
I  0.1664  0.0842  0.7170  1 Mn 2.70
Mn  0.4449  0.7476  0.2125  4 I 2.71-2.73
I  0.0834  0.5755  0.5343  2 Mn 2.71-2.72
I  0.0324  0.5842  0.2170  1 Mn 2.70
Mn  0.2257  0.4510  0.3375  4 I 2.70-2.72
Mn  0.9625  0.0476  0.1719  4 I 2.71-2.72
I  0.8068  0.0755  0.0343  2 Mn 2.71-2.72
I  0.3153  0.1955  0.3301  1 Mn 2.70
I  0.8289  0.9326  0.3767  1 Mn 2.72
I  0.3725  0.3064  0.9231  1 Mn 2.72
I  0.4844  0.4982  0.2260  2 Mn 2.71
Mn  0.5950  0.2476  0.7125  4 I 2.71-2.73
I  0.5754  0.7762  0.7003  1 Mn 2.71

* symmetry: No. 9
* size of the total moment: 30.0 μB/cell
* formation energy without anion corrections: -0.686 eV per atom

=====

# 2
DFT (PBE) results for an optimized crystal structure of Pr4MnI5.

a = 4.2941 Å, b = 9.6367 Å, c = 10.0880 Å
α = 103.49°, β = 102.29°, γ = 90.00°
Closest atoms and distances in Å follow each position.
Atoms (fractional coordinates):
I  0.8327  0.6733  0.6653  3 Pr 3.21-3.25
I  0.1699  0.8401  0.3398  3 Pr 3.26-3.27
Pr  0.3678  0.9332  0.7356  1 Mn 2.53
I  0.5000  0.5000  0.0000  4 Pr 3.40
Pr  0.0000  0.2267  0.0000  2 Mn 3.06, 4 I 3.21-3.40
Pr  0.0000  0.7733  0.0000  2 Mn 3.06, 4 I 3.21-3.40
I  0.1673  0.3267  0.3347  3 Pr 3.21-3.25
Mn  0.5000  0.0000  0.0000  2 Pr 2.53
Pr  0.6322  0.0668  0.2644  1 Mn 2.53
I  0.8301  0.1599  0.6602  3 Pr 3.26-3.27

* symmetry: No. 12
* size of the total moment: 1.1 μB/cell
* formation energy without anion corrections: -0.944 eV per atom

=====

# 3
DFT (PBE) results for an optimized crystal structure of Pr7MnI12.

a = 6.9330 Å, b = 11.7560 Å, c = 11.7560 Å
α = 116.23°, β = 101.34°, γ = 101.34°
Closest atoms and distances in Å follow each position.
Atoms (fractional coordinates):
I  0.8343  0.2970  0.2182  5 Pr 3.27-3.49
I  0.7065  0.6212  0.4775  3 Pr 3.26-3.53
Pr  0.0315  0.9219  0.6921  7 I 3.26-3.53, 1 Mn 3.38
I  0.2290  0.5225  0.1437  3 Pr 3.26-3.53
I  0.2935  0.3788  0.5225  3 Pr 3.26-3.53
Pr  0.8904  0.2298  0.9219  7 I 3.26-3.53, 1 Mn 3.38
Mn  0.0000  0.0000  0.0000  8 Pr 3.38-3.47
Pr  0.9685  0.0781  0.3079  7 I 3.26-3.53, 1 Mn 3.38
I  0.3839  0.2182  0.9212  5 Pr 3.27-3.49
I  0.7710  0.4775  0.8563  3 Pr 3.26-3.53
I  0.5373  0.9212  0.7030  5 Pr 3.27-3.49
Pr  0.5000  0.0000  0.0000  6 I 3.27, 2 Mn 3.47
I  0.4627  0.0788  0.2970  5 Pr 3.27-3.49
Pr  0.3393  0.3079  0.2298  7 I 3.26-3.53, 1 Mn 3.38
Pr  0.6607  0.6921  0.7702  7 I 3.26-3.53, 1 Mn 3.38
I  0.6161  0.7818  0.0788  5 Pr 3.27-3.49
I  0.1657  0.7030  0.7818  5 Pr 3.27-3.49
I  0.9148  0.1437  0.6212  3 Pr 3.26-3.53
I  0.0852  0.8563  0.3788  3 Pr 3.26-3.53
Pr  0.1096  0.7702  0.0781  7 I 3.26-3.53, 1 Mn 3.38

* symmetry: No. 148
* size of the total moment: 2.8 μB/cell
* formation energy without anion corrections: -0.983 eV per atom